Entry from Alexandria via LeMat-Bulk: Si2NiCl after structural relaxation (GGA-PBE).

```
Si2NiCl
1.0
4.366 -0.118 0.000
-0.043 4.368 0.000
-2.162 -2.125 3.145
Ni Cl Si
1 1 2
Direct
0.750 0.250 0.500 Ni
0.500 0.500 0.000 Cl
0.000 0.000 0.000 Si
0.250 0.750 0.500 Si
```

## Properties
M_tot: 0.00 μB per formula unit
uncorrected energy: -4.028 eV per atom
distance to the lowest polymorph of the same formula: 915 meV/atom
raw formation energy: 0.591 eV/atom



Entry from Alexandria via LeMat-Bulk: PmGeO4 after structural relaxation (GGA-PBE).

```
PmGeO4
1.0
4.392 0.000 0.000
0.000 6.190 0.178
0.000 -2.287 5.500
O Pm Ge
8 2 2
Direct
0.169 0.322 0.071 O
0.935 0.099 0.326 O
0.831 0.678 0.929 O
0.565 0.599 0.326 O
0.669 0.178 0.929 O
0.435 0.401 0.674 O
0.065 0.901 0.674 O
0.331 0.822 0.071 O
0.000 0.500 0.500 Pm
0.500 0.000 0.500 Pm
0.000 0.000 0.000 Ge
0.500 0.500 0.000 Ge
```

## Properties
M_tot: 1.02 μB per formula unit
uncorrected energy: -6.891 eV per atom
distance to the lowest polymorph of the same formula: 182 meV/atom
raw formation energy: -2.025 eV/atom



Entry from Alexandria via LeMat-Bulk: RbHfPS2 after structural relaxation (GGA-PBE).

```
RbHfPS2
1.0
5.139 0.000 0.000
0.000 5.139 0.000
0.000 0.000 5.153
P Hf S Rb
1 1 2 1
Direct
0.000 0.000 0.500 P
0.500 0.500 0.500 Hf
0.500 0.000 0.000 S
0.000 0.500 0.000 S
0.000 0.000 0.000 Rb
```

## Properties
M_tot: 0.39 μB per formula unit
uncorrected energy: -3.316 eV per atom
distance to the lowest polymorph of the same formula: 2398 meV/atom
raw formation energy: 1.601 eV/atom